Entry from Alexandria: Pd2AuO after structural relaxation (PBE).

Cell: 3.0005 3.0005 21.9947 Å, 90.00 90.00 120.00°
Space group R-3m (No. 166, hexagonal axes)
Asymmetric unit:
Pd (0.0000, 0.0000, 0.2333)
Au (0.0000, 0.0000, 0.0000)
O (0.0000, 0.0000, 0.5000)

Output
DOS at the Fermi energy = 2.6 states/eV/f.u.
energy relative to the elements, uncorrected = 39 meV/atom
ρ = 12.4 g/cm3
raw total energy = -4.617 eV/atom